(1)
MgOs, relaxed, DFT PBE; E_form = 4.38 kcal/mol of atoms; space group = P6_3/mmc; DFT total energy = -6.222 eV per atom
1.0
4.337 0.000 0.000
-2.168 3.756 0.000
0.000 0.000 8.704
Mg Os
4 4
direct
0.333 0.667 0.082 Mg
0.333 0.667 0.418 Mg
0.667 0.333 0.582 Mg
0.667 0.333 0.918 Mg
0.000 0.000 0.250 Os
0.000 0.000 0.750 Os
0.333 0.667 0.750 Os
0.667 0.333 0.250 Os

***

(2)
NbHgCl2, relaxed, DFT PBE; space group = Fm-3m; E_form (uncorrected) = 0.77 eV per formula unit; ΔE to the lowest computed polymorph = 911 meV per atom; DFT total energy = -3.324 eV per atom
1.0
0.000 3.524 3.524
3.524 0.000 3.524
3.524 3.524 0.000
Nb Hg Cl
1 1 2
direct
0.000 0.000 0.000 Nb
0.500 0.500 0.500 Hg
0.250 0.250 0.250 Cl
0.750 0.750 0.750 Cl

***

(3)
Sr2LiIr, relaxed, DFT PBE; E_form = 0.25 kcal/mol of atoms; space group = Imm2; DFT total energy = -3.524 eV per atom
1.0
-1.837 2.606 6.224
1.837 -2.606 6.224
1.837 2.606 -6.224
Sr Li Ir
2 1 1
direct
0.000 0.000 0.000 Sr
0.696 0.196 0.500 Sr
0.344 0.344 0.000 Li
0.194 0.694 0.500 Ir

***

(4)
CrHg2Os, relaxed, DFT PBE; E_form = 20.84 kcal/mol of atoms; space group = Cmmm; ΔE to the lowest computed polymorph = 535 meV per atom; DFT total energy = -4.461 eV per atom
1.0
1.508 -2.484 0.000
1.508 2.484 0.000
0.000 0.000 9.621
Cr Hg Os
1 2 1
direct
0.000 0.000 0.000 Cr
0.500 0.500 0.246 Hg
0.500 0.500 0.754 Hg
0.000 0.000 0.500 Os

***

(5)
KZnCd2In4, relaxed, DFT PBE; E_form = -0.26 kcal/mol of atoms; space group = R-3m; DFT total energy = -1.906 eV per atom
1.0
2.532 1.462 10.263
-2.532 1.462 10.263
0.000 -2.924 10.263
K Zn Cd In
1 1 2 4
direct
0.000 0.000 0.000 K
0.500 0.500 0.500 Zn
0.246 0.246 0.246 Cd
0.754 0.754 0.754 Cd
0.135 0.135 0.135 In
0.407 0.407 0.407 In
0.593 0.593 0.593 In
0.865 0.865 0.865 In

***

Question: Number 3 is which compound?
Answer: Sr2LiIr

***

Question: Number 5 is which compound?
Answer: KZnCd2In4

***

Question: What is the DFT total energy in the second record?
Answer: -3.324 eV per atom

***

Question: What is the DFT total energy in the third record?
Answer: -3.524 eV per atom